1.
ZrAg2Se: optimized geometry, PBE.

abc: 5.039 5.039 5.390
angles: 69.08 69.08 39.74
Positions (direct):
Zr 0.776 0.776 0.669
Ag 0.984 0.984 0.042
Ag 0.228 0.228 0.196
Se 0.512 0.512 0.592

Computed properties:
calculated volume: 81 Å³ per cell
crystal system: monoclinic
density of states at the Fermi level: 2.4 states/eV/f.u.
magnetization: 0.00 μB/f.u.
uncorrected energy: -0.171 Ha/atom
formation energy (no corrections): -0.212 eV/atom

2.
Na2MgGaSb2: optimized geometry, PBE.

abc: 6.660 6.714 8.886
angles: 112.20 112.01 90.00
Positions (direct):
Mg 0.000 0.750 0.000
Mg 0.000 0.250 0.000
Sb 0.635 0.388 0.776
Sb 0.141 0.888 0.776
Sb 0.859 0.112 0.224
Sb 0.365 0.612 0.224
Na 0.435 0.174 0.348
Na 0.913 0.674 0.348
Na 0.087 0.326 0.652
Na 0.565 0.826 0.652
Ga 0.500 0.250 0.000
Ga 0.500 0.750 0.000

Computed properties:
calculated volume: 336 Å³ per cell
crystal system: orthorhombic
density of states at the Fermi level: 1.7 states/eV/f.u.
magnetization: 0.00 μB/f.u.
uncorrected energy: -0.108 Ha/atom
formation energy (no corrections): -0.356 eV/atom

3.
CsBaTa: optimized geometry, PBE.

abc: 6.136 6.136 6.136
angles: 60.00 60.00 60.00
Positions (direct):
Ta 0.500 0.500 0.500
Cs 0.250 0.250 0.250
Ba 0.750 0.750 0.750

Computed properties:
calculated volume: 163 Å³ per cell
crystal system: cubic
density of states at the Fermi level: 1.8 states/eV/f.u.
magnetization: 5.97 μB/f.u.
uncorrected energy: -0.116 Ha/atom
DFT formation energy: 5.152 eV per formula unit

4.
NiSbP: optimized geometry, PBE.

abc: 4.368 4.022 6.364
angles: 90.00 108.53 90.00
Positions (direct):
Sb 0.225 0.250 0.420
Sb 0.775 0.750 0.580
Ni 0.677 0.250 0.827
Ni 0.323 0.750 0.173
P 0.743 0.750 0.025
P 0.257 0.250 0.975

Computed properties:
calculated volume: 106 Å³ per cell
crystal system: monoclinic
density of states at the Fermi level: 1.3 states/eV/f.u.
magnetization: 0.00 μB/f.u.
uncorrected energy: -0.192 Ha/atom
formation energy (no corrections): -0.111 eV/atom

5.
Sn2AsRh4: optimized geometry, PBE.

abc: 4.521 4.521 7.481
angles: 72.41 72.41 90.00
Positions (direct):
Sn 0.366 0.366 0.269
Sn 0.634 0.634 0.731
Rh 0.500 0.000 0.000
Rh 0.824 0.824 0.351
Rh 0.000 0.500 0.000
Rh 0.176 0.176 0.649
As 0.000 0.000 0.000

Computed properties:
calculated volume: 138 Å³ per cell
crystal system: tetragonal
density of states at the Fermi level: 8.5 states/eV/f.u.
magnetization: 0.00 μB/f.u.
uncorrected energy: -0.215 Ha/atom
DFT formation energy: 1.047 eV per formula unit

6.
NdCd12Hg7: optimized geometry, PBE.

abc: 7.786 8.972 8.972
angles: 68.01 73.19 106.81
Positions (direct):
Hg 0.500 0.000 0.000
Hg 0.089 0.663 0.048
Hg 0.574 0.711 0.337
Hg 0.138 0.048 0.289
Hg 0.426 0.289 0.663
Hg 0.862 0.952 0.711
Hg 0.911 0.337 0.952
Cd 0.782 0.674 0.561
Cd 0.835 0.321 0.645
Cd 0.520 0.355 0.965
Cd 0.480 0.645 0.035
Cd 0.343 0.561 0.765
Cd 0.892 0.235 0.326
Cd 0.515 0.035 0.321
Cd 0.485 0.965 0.679
Cd 0.657 0.439 0.235
Cd 0.108 0.765 0.674
Cd 0.218 0.326 0.439
Cd 0.165 0.679 0.355
Nd 0.000 0.000 0.000

Computed properties:
calculated volume: 497 Å³ per cell
crystal system: trigonal
density of states at the Fermi level: 8.9 states/eV/f.u.
magnetization: 0.00 μB/f.u.
uncorrected energy: -0.033 Ha/atom
DFT formation energy: -0.253 eV per formula unit